Arrangement A

Compound: Sr3NbAu
Source: the Alexandria database
Functional: GGA-PBE
Structure: relaxed

M_tot   4.42 μB per cell

```
Sr3NbAu
1.0
5.9513 0.0000 0.0000
0.0000 5.9513 0.0000
0.0000 0.0000 5.9513
Sr Nb Au
3 1 1
Direct
0.0000 0.0000 0.5000
0.0000 0.5000 0.0000
0.5000 0.0000 0.0000
0.5000 0.5000 0.5000
0.0000 0.0000 0.0000
```

***

Arrangement B

Compound: Sr3NbAu
Source: the Alexandria database
Functional: GGA-PBE
Structure: relaxed

M_tot   0.00 μB per cell

```
Sr3NbAu
1.0
5.7575 0.0000 0.0000
0.0000 5.7575 0.0000
0.0000 0.0000 5.7575
Sr Nb Au
3 1 1
Direct
0.0000 0.0000 0.5000
0.0000 0.5000 0.0000
0.5000 0.0000 0.0000
0.0000 0.0000 0.0000
0.5000 0.5000 0.5000
```

***

Stability ranking, top and bottom: arrangement A is the most stable and arrangement B is the least stable.

***

Arrangement A

Compound: SrNbAu3
Source: the Alexandria database
Functional: GGA-PBE
Structure: relaxed

M_tot   3.85 μB per cell

```
SrNbAu3
1.0
5.4913 0.0000 0.0000
0.0000 5.4913 0.0000
0.0000 0.0000 5.4913
Sr Nb Au
1 1 3
Direct
0.0000 0.0000 0.0000
0.5000 0.5000 0.5000
0.0000 0.0000 0.5000
0.0000 0.5000 0.0000
0.5000 0.0000 0.0000
```

***

Arrangement B

Compound: SrNbAu3
Source: the Alexandria database
Functional: GGA-PBE
Structure: relaxed

M_tot   0.00 μB per cell

```
SrNbAu3
1.0
5.1910 0.0000 0.0000
0.0000 5.1910 0.0000
0.0000 0.0000 5.1910
Sr Nb Au
1 1 3
Direct
0.0000 0.0000 0.0000
0.5000 0.5000 0.5000
0.0000 0.5000 0.5000
0.5000 0.0000 0.5000
0.5000 0.5000 0.0000
```

***

Stability ranking, top and bottom: arrangement B is the most stable and arrangement A is the least stable.

***

Arrangement A

Compound: Ta2Nb6Au
Source: the Alexandria database
Functional: GGA-PBE
Structure: relaxed

M_tot   0.00 μB per cell

```
Ta2Nb6Au
1.0
4.5535 0.0000 0.0000
0.0000 4.5535 0.0000
0.0000 0.0000 8.6911
Ta Nb Au
2 6 1
Direct
0.0000 0.0000 0.1443
0.0000 0.0000 0.8557
0.0000 0.0000 0.5000
0.0000 0.5000 0.3081
0.0000 0.5000 0.6919
0.5000 0.0000 0.3081
0.5000 0.0000 0.6919
0.5000 0.5000 0.5000
0.5000 0.5000 0.0000
```

***

Arrangement B

Compound: Ta2Nb6Au
Source: the Alexandria database
Functional: GGA-PBE
Structure: relaxed

M_tot   0.00 μB per cell

```
Ta2Nb6Au
1.0
2.6292 -7.1918 0.0000
2.6292 7.1918 0.0000
-2.0238 0.0000 4.3787
Ta Nb Au
2 6 1
Direct
0.1631 0.8369 0.0000
0.8369 0.1631 0.0000
0.1754 0.5052 0.6681
0.3384 0.3384 0.1677
0.4948 0.8246 0.3319
0.5052 0.1754 0.6681
0.6616 0.6616 0.8323
0.8246 0.4948 0.3319
0.0000 0.0000 0.5000
```

***

Stability ranking, top and bottom: arrangement B is the most stable and arrangement A is the least stable.

***

Arrangement A

Compound: Ta3Nb2Au
Source: the Alexandria database
Functional: GGA-PBE
Structure: relaxed

M_tot   0.00 μB per cell

```
Ta3Nb2Au
1.0
3.3701 0.0000 0.0000
0.0000 3.3701 0.0000
0.0000 0.0000 9.5997
Ta Nb Au
3 2 1
Direct
0.0000 0.0000 0.0000
0.0000 0.0000 0.3262
0.0000 0.0000 0.6738
0.5000 0.5000 0.1710
0.5000 0.5000 0.8290
0.5000 0.5000 0.5000
```

***

Arrangement B

Compound: Ta3Nb2Au
Source: the Alexandria database
Functional: GGA-PBE
Structure: relaxed

M_tot   0.00 μB per cell

```
Ta3Nb2Au
1.0
6.0332 -4.1100 0.0000
6.0332 4.1100 0.0000
0.0000 0.0000 4.7967
Ta Nb Au
6 4 2
Direct
0.0824 0.9176 0.7500
0.1049 0.3631 0.2500
0.3631 0.1049 0.7500
0.6369 0.8951 0.2500
0.8951 0.6369 0.7500
0.9176 0.0824 0.2500
0.2834 0.4892 0.7500
0.4892 0.2834 0.2500
0.5108 0.7166 0.7500
0.7166 0.5108 0.2500
0.2668 0.7332 0.2500
0.7332 0.2668 0.7500
```

***

Stability ranking, top and bottom: arrangement A is the most stable and arrangement B is the least stable.